Entry from the Alexandria database: a crystal of YSc2Al relaxed with PBEsol (meta-GGA SCAN).

Properties
crystal system = orthorhombic

abc: 3.605 4.870 6.063
angles: 113.64 107.29 90.00
Sites, in units of the cell vectors:
Sc (0.031, 0.031, 0.062)
Al (0.741, 0.242, 0.483)
Sc (0.253, 0.753, 0.507)
Y (0.474, 0.474, 0.948)


Entry from the Alexandria database: a crystal of YSc2Al2 relaxed with PBEsol (meta-GGA SCAN).

Properties
crystal system = tetragonal

abc: 3.397 8.015 8.015
angles: 90.00 90.00 90.00
Sites, in units of the cell vectors:
Al (0.000, 0.880, 0.620)
Al (0.000, 0.620, 0.120)
Sc (0.500, 0.676, 0.824)
Y (0.000, 0.000, 0.000)
Sc (0.500, 0.324, 0.176)
Sc (0.500, 0.824, 0.324)
Y (0.000, 0.500, 0.500)
Al (0.000, 0.120, 0.380)
Sc (0.500, 0.176, 0.676)
Al (0.000, 0.380, 0.880)


Entry from the Alexandria database: a crystal of YScAl relaxed with PBEsol (meta-GGA SCAN).

Properties
crystal system = tetragonal

abc: 3.283 3.283 6.825
angles: 103.92 103.92 90.00
Last column: magnetic moment on the atom in μB.
Sites, in units of the cell vectors:
Y (0.655, 0.655, 0.310)  0.04
Sc (0.352, 0.352, 0.704)  0.13
Al (0.993, 0.993, 0.986)  0.01


Entry from the Alexandria database: a crystal of YSc2Al relaxed with PBEsol (meta-GGA SCAN).

Properties
crystal system = tetragonal

abc: 3.302 3.302 8.513
angles: 90.00 90.00 90.00
Last column: magnetic moment on the atom in μB.
Sites, in units of the cell vectors:
Sc (0.000, 0.000, 0.975)  0.25
Y (0.000, 0.000, 0.525)  0.03
Sc (0.500, 0.500, 0.235)  0.30
Al (0.500, 0.500, 0.765)  0.01


Entry from the Alexandria database: a crystal of YSc2Al relaxed with PBEsol (meta-GGA SCAN).

Properties
crystal system = tetragonal

abc: 4.475 4.475 4.511
angles: 90.00 90.00 90.00
Last column: magnetic moment on the atom in μB.
Sites, in units of the cell vectors:
Al (0.000, 0.000, 0.500)  -0.04
Sc (0.500, 0.000, 0.000)  0.38
Sc (0.000, 0.500, 0.000)  0.38
Y (0.500, 0.500, 0.500)  0.32


Entry from the Alexandria database: a crystal of YSc2Al relaxed with PBEsol (meta-GGA SCAN).

Properties
crystal system = tetragonal

abc: 4.431 4.431 5.560
angles: 113.48 113.48 90.00
Last column: magnetic moment on the atom in μB.
Sites, in units of the cell vectors:
Sc (0.750, 0.250, 0.500)  0.09
Y (0.500, 0.500, 0.000)  0.12
Al (0.250, 0.750, 0.500)  -0.01
Sc (0.000, 0.000, 0.000)  0.13


no.,total magnetic moment (μB per atom),DFT formation energy (eV/atom),mass density (g/cm³)
1,0.000,-0.200,3.7
2,0.010,-0.350,3.5
3,0.097,-0.280,3.9
4,0.236,-0.204,3.7
5,0.360,-0.223,3.8
6,0.114,-0.166,3.8